# Be2TlCo

A relaxed Be2TlCo crystal (PBE, the Alexandria database).

## Properties
Fermi-level density of states	1.9	states/eV/f.u.
magnetization	0.00	μB/f.u.
energy above the lowest structure with this stoichiometry	0.0	meV/atom
energy of formation	0.20	eV/atom
SG	R3m (160)

The structure in CIF format:
```
data_Be2TlCo
_cell_length_a 3.726
_cell_length_b 3.726
_cell_length_c 5.003
_cell_angle_alpha 68.22
_cell_angle_beta 68.22
_cell_angle_gamma 59.91
_space_group_name_H-M_alt 'P 1'
_space_group_IT_number 1
loop_
_space_group_symop_operation_xyz
'x,y,z'
loop_
_atom_site_label
_atom_site_fract_x
_atom_site_fract_y
_atom_site_fract_z
Be1 0.255 0.255 0.236
Be2 0.938 0.938 0.188
Tl1 0.751 0.751 0.746
Co1 0.557 0.557 0.330
```

***

# LiLu2Ir

A relaxed LiLu2Ir crystal (PBE, the Alexandria database).

## Properties
Fermi-level density of states	2.5	states/eV/f.u.
magnetization	0.00	μB/f.u.
energy above the lowest structure with this stoichiometry	0.0	meV/atom
energy of formation	-0.66	eV/atom
SG	Fm-3m (225)

The structure in CIF format:
```
data_LiLu2Ir
_cell_length_a 4.808
_cell_length_b 4.808
_cell_length_c 4.808
_cell_angle_alpha 60.00
_cell_angle_beta 60.00
_cell_angle_gamma 60.00
_space_group_name_H-M_alt 'P 1'
_space_group_IT_number 1
loop_
_space_group_symop_operation_xyz
'x,y,z'
loop_
_atom_site_label
_atom_site_fract_x
_atom_site_fract_y
_atom_site_fract_z
Lu1 0.250 0.250 0.250
Lu2 0.750 0.750 0.750
Li1 0.000 0.000 0.000
Ir1 0.500 0.500 0.500
```

***

# MgOsAu

A relaxed MgOsAu crystal (PBE, the Alexandria database).

## Properties
Fermi-level density of states	3.0	states/eV/f.u.
magnetization	0.01	μB/f.u.
energy above the lowest structure with this stoichiometry	22.7	meV/atom
energy of formation	0.24	eV/atom
SG	I4mm (107)

The structure in CIF format:
```
data_MgOsAu
_cell_length_a 6.671
_cell_length_b 6.671
_cell_length_c 6.671
_cell_angle_alpha 156.06
_cell_angle_beta 156.06
_cell_angle_gamma 34.12
_space_group_name_H-M_alt 'P 1'
_space_group_IT_number 1
loop_
_space_group_symop_operation_xyz
'x,y,z'
loop_
_atom_site_label
_atom_site_fract_x
_atom_site_fract_y
_atom_site_fract_z
Au1 0.000 0.000 0.000
Mg1 0.329 0.329 0.000
Os1 0.671 0.671 0.000
```

***

# ZrAlAs2

A relaxed ZrAlAs2 crystal (PBE, the Alexandria database).

## Properties
Fermi-level density of states	0.7	states/eV/f.u.
magnetization	0.00	μB/f.u.
energy of formation	-0.70	eV/atom
SG	Amm2 (38)

The structure in CIF format:
```
data_ZrAlAs2
_cell_length_a 5.743
_cell_length_b 5.743
_cell_length_c 3.893
_cell_angle_alpha 89.99
_cell_angle_beta 89.99
_cell_angle_gamma 37.27
_space_group_name_H-M_alt 'P 1'
_space_group_IT_number 1
loop_
_space_group_symop_operation_xyz
'x,y,z'
loop_
_atom_site_label
_atom_site_fract_x
_atom_site_fract_y
_atom_site_fract_z
Al1 0.253 0.253 0.125
Zr1 0.461 0.461 0.625
As1 0.028 0.028 0.125
As2 0.759 0.759 0.625
```